Density functional theory data (GGA-PBE) for a geometry-optimized SmMoOs structure.

Formation energy from the elements (kJ/mol of formula units): 495
ρ (g/cm3): 10.901
Symmetry: No. 216

```
3
Lattice="0.0000 3.2156 3.2156 3.2156 0.0000 3.2156 3.2156 3.2156 0.0000" Properties=species:S:1:pos:R:3 pbc="T T T"
Mo 1.6078 1.6078 1.6078
Os 4.8233 4.8233 4.8233
Sm 0.0000 0.0000 0.0000
```

---

Density functional theory data (GGA-PBE) for a geometry-optimized SnMo2Os6 structure.

Electronic total energy (eV per atom): -8.967
ρ (g/cm3): 13.250
Symmetry: No. 123

```
9
Lattice="3.8213 0.0000 0.0000 0.0000 3.8213 0.0000 0.0000 0.0000 12.4618" Properties=species:S:1:pos:R:3 pbc="T T T"
Mo 1.9107 1.9107 3.8302
Mo 1.9107 1.9107 8.6316
Os 1.9107 1.9107 0.0000
Os 1.9107 0.0000 2.1729
Os 0.0000 1.9107 2.1729
Os 1.9107 1.9107 6.2309
Os 1.9107 0.0000 10.2889
Os 0.0000 1.9107 10.2889
Sn 0.0000 0.0000 0.0000
```

---

Density functional theory data (GGA-PBE) for a geometry-optimized SnMoOs2 structure.

Electronic total energy (eV per atom): -8.787
ρ (g/cm3): 15.308
Symmetry: No. 216

```
4
Lattice="-2.6419 -3.0758 1.9583 -4.2482 1.0366 1.0737 -3.4132 -1.8277 -2.2987" Properties=species:S:1:pos:R:3 pbc="T T T"
Mo -2.5758 -0.9667 0.1833
Os 0.0000 0.0000 0.0000
Os -7.7275 -2.9001 0.5499
Sn -5.1517 -1.9334 0.3666
```

---

Density functional theory data (GGA-PBE) for a geometry-optimized SrMoOs structure.

Energy above the most stable polymorph in this dataset (kJ/mol of formula units): 216
ρ (g/cm3): 9.185
Symmetry: No. 216

```
3
Lattice="0.0000 3.2329 3.2329 3.2329 0.0000 3.2329 3.2329 3.2329 0.0000" Properties=species:S:1:pos:R:3 pbc="T T T"
Mo 1.6164 1.6164 1.6164
Os 0.0000 0.0000 0.0000
Sr 4.8493 4.8493 4.8493
```

---

Density functional theory data (GGA-PBE) for a geometry-optimized SrMoOs structure.

Energy above the most stable polymorph in this dataset (kJ/mol of formula units): 0
ρ (g/cm3): 7.382
Symmetry: No. 166

```
6
Lattice="2.1210 1.2246 10.7910 -2.1210 1.2246 10.7910 0.0000 -2.4491 10.7910" Properties=species:S:1:pos:R:3 pbc="T T T"
Mo 0.0000 0.0000 9.7574
Mo 0.0000 0.0000 22.6155
Os 0.0000 0.0000 12.2876
Os 0.0000 0.0000 20.0853
Sr 0.0000 0.0000 3.5366
Sr 0.0000 0.0000 28.8363
```

---

Density functional theory data (GGA-PBE) for a geometry-optimized Ta2MoOs structure.

Formation energy from the elements (kJ/mol of formula units): -152
ρ (g/cm3): 16.399
Symmetry: No. 225

```
16
Lattice="-4.7056 0.2906 4.3334 3.0397 -0.4219 3.3291 0.8729 9.0045 0.3441" Properties=species:S:1:pos:R:3 pbc="T T T"
Mo -2.6600 1.2380 4.1252
Mo 1.4308 3.1329 3.7091
Mo -2.2239 5.7403 4.2975
Mo 1.8670 7.6352 3.8814
Os -0.3072 1.0927 1.9585
Os -0.9220 3.2782 5.8758
Os 0.1289 5.5950 2.1308
Os -0.4858 7.7805 6.0481
Ta 2.3889 0.8091 2.5398
Ta 0.0364 0.9544 4.7062
Ta 1.0873 3.2712 0.9613
Ta -1.2655 3.4165 3.1279
Ta 0.4724 5.4567 4.8786
Ta 2.8253 5.3114 2.7119
Ta -0.8294 7.9188 3.3003
Ta 1.5237 7.7735 1.1334
```

---

Spin magnetization, respectively: 0.7097, 0.0693, 0.2027, 0.0018, 0.0279, 0.0030 μB/atom.